Record 1
# Zn2SbMo

Zn2SbMo after structural relaxation (GGA-PBE, Alexandria via LeMat-Bulk).

Calculated values
Its magnetization is 0.00 μB/f.u. The calculation puts the total energy at -4.04 eV/atom. The formation energy from raw total energies comes out at 1.358 eV per formula unit.

abc: 2.9031 2.9031 8.8129
angles: 90.00 90.00 95.67
With the nearest neighbours (Å) after each atom.
Positions (direct):
Zn 0.0000 0.0000 0.0345  4 Mo 2.72-2.87, 4 Zn 2.90
Sb 0.5000 0.5000 0.7500  4 Sb 2.90, 4 Zn 3.18
Zn 0.0000 0.0000 0.4655  4 Mo 2.72-2.87, 4 Zn 2.90
Mo 0.5000 0.5000 0.2500  8 Zn 2.72-2.87, 4 Mo 2.90

Record 2
# RbCd3Pt

RbCd3Pt after structural relaxation (GGA-PBE, Alexandria via LeMat-Bulk).

Calculated values
The energy of formation from the pure elements comes out at 83 meV per atom. Its magnetization is 0.00 μB/f.u. The calculation puts the total energy at -1.87 eV/atom.

abc: 4.5537 4.5537 9.0061
angles: 90.00 90.00 90.00
With the nearest neighbours (Å) after each atom.
Positions (direct):
Pt 0.5000 0.5000 0.5460  4 Cd 2.72
Cd 0.0000 0.5000 0.7108  2 Pt 2.72
Cd 0.0000 0.0000 0.9406  4 Cd 3.08
Cd 0.5000 0.0000 0.7108  2 Pt 2.72
Rb 0.0000 0.0000 0.3555  4 Pt 3.65, 5 Cd 3.74-3.93

Record 3
# CaIn2Re

CaIn2Re after structural relaxation (GGA-PBE, Alexandria via LeMat-Bulk).

Calculated values
The energy of formation from the pure elements comes out at 247 meV per atom. Its magnetization is 0.00 μB/f.u. The calculation puts the total energy at -4.73 eV/atom.

abc: 3.2501 3.2501 8.2529
angles: 90.00 90.00 90.00
With the nearest neighbours (Å) after each atom.
Positions (direct):
In 0.0000 0.0000 0.0415  4 Re 2.87
Ca 0.5000 0.5000 0.7500  4 Ca 3.25, 8 In 3.33
Re 0.5000 0.5000 0.2500  8 In 2.87
In 0.0000 0.0000 0.4585  4 Re 2.87

Record 4
# Na3DyNp2Te6

Na3DyNp2Te6 after structural relaxation (GGA-PBE, Alexandria via LeMat-Bulk).

Calculated values
Its magnetization is 8.00 μB/f.u. The calculation puts the total energy at -5.41 eV/atom. The formation energy from raw total energies comes out at -11.669 eV per formula unit.

abc: 7.7409 7.7409 7.9624
angles: 99.32 99.32 120.00
With the nearest neighbours (Å) after each atom.
Positions (direct):
Te 0.9219 0.5916 0.7657  1 Dy 3.11, 2 Np 3.14, 3 Na 3.26-3.28
Te 0.0781 0.4084 0.2343  1 Dy 3.11, 2 Np 3.14, 3 Na 3.26-3.28
Te 0.4084 0.0781 0.2343  1 Dy 3.11, 2 Np 3.14, 3 Na 3.26-3.28
Np 0.3333 0.6667 0.0000  6 Te 3.14
Dy 0.0000 0.0000 0.0000  6 Te 3.11
Np 0.6667 0.3333 0.0000  6 Te 3.14
Te 0.5916 0.9219 0.7657  1 Dy 3.11, 2 Np 3.14, 3 Na 3.26-3.28
Na 0.8328 0.1672 0.5000  6 Te 3.26-3.28
Te 0.2523 0.2523 0.7660  1 Dy 3.11, 2 Np 3.14, 3 Na 3.26-3.29
Na 0.1672 0.8328 0.5000  6 Te 3.26-3.28
Te 0.7477 0.7477 0.2340  1 Dy 3.11, 2 Np 3.14, 3 Na 3.26-3.29
Na 0.5000 0.5000 0.5000  6 Te 3.26-3.29

Record 5
# PrNd5In6

PrNd5In6 after structural relaxation (GGA-PBE, Alexandria via LeMat-Bulk).

Calculated values
The energy of formation from the pure elements comes out at -495 meV per atom. Its magnetization is 0.00 μB/f.u. The calculation puts the total energy at -4.25 eV/atom.

abc: 5.4822 9.5091 9.5032
angles: 59.98 73.22 54.75
With the nearest neighbours (Å) after each atom.
Positions (direct):
Nd 0.5000 0.8342 0.3317  8 In 3.36-3.37
Nd 0.0000 0.3329 0.3342  8 In 3.35-3.36
In 0.2512 0.5815 0.3345  7 Nd 3.35-3.37, 1 Pr 3.37
In 0.2512 0.9160 0.6655  7 Nd 3.35-3.37, 1 Pr 3.37
In 0.2476 0.2525 0.0000  6 Nd 3.35-3.36, 2 Pr 3.37
In 0.7488 0.4185 0.6655  7 Nd 3.35-3.37, 1 Pr 3.37
Nd 0.5000 0.1658 0.6683  8 In 3.36-3.37
Nd 0.5000 0.5000 0.0000  8 In 3.35-3.36
In 0.7488 0.0840 0.3345  7 Nd 3.35-3.37, 1 Pr 3.37
Pr 0.0000 0.0000 0.0000  8 In 3.37
In 0.7524 0.7475 0.0000  6 Nd 3.35-3.36, 2 Pr 3.37
Nd 0.0000 0.6671 0.6658  8 In 3.35-3.36

Record 6
# GeH2Se

GeH2Se after structural relaxation (GGA-PBE, Alexandria via LeMat-Bulk).

Calculated values
Its magnetization is 0.00 μB/f.u. The calculation puts the total energy at -3.50 eV/atom.

abc: 2.8488 4.8742 5.2808
angles: 108.32 90.12 107.08
With the nearest neighbours (Å) after each atom.
Positions (direct):
H 0.8262 0.6471 0.6178  1 H 1.29
Se 0.7432 0.4825 0.8340  1 H 1.57
H 0.8905 0.7691 0.4308  1 H 1.29
Ge 0.9980 0.9829 0.2379  1 H 1.64

Record 7
# LiTaAs2

LiTaAs2 after structural relaxation (GGA-PBE, Alexandria via LeMat-Bulk).

Calculated values
The energy of formation from the pure elements comes out at -163 meV per atom. Its magnetization is 0.00 μB/f.u. The calculation puts the total energy at -5.93 eV/atom.

abc: 4.4535 4.4535 3.3249
angles: 90.00 90.00 95.31
With the nearest neighbours (Å) after each atom.
Positions (direct):
Li 0.5000 0.0000 0.5000  8 As 2.78, 2 Ta 3.00
Ta 0.0000 0.5000 0.5000  8 As 2.78, 2 Li 3.00
As 0.5000 0.5000 0.0000  4 Ta 2.78, 4 Li 2.78, 2 As 3.00
As 0.0000 0.0000 0.0000  4 Li 2.78, 4 Ta 2.78, 2 As 3.00

Record 8
# LaAs2PdO8

LaAs2PdO8 after structural relaxation (GGA-PBE, Alexandria via LeMat-Bulk).

Calculated values
Its magnetization is 1.03 μB/f.u. The calculation puts the total energy at -6.34 eV/atom. The formation energy from raw total energies comes out at -17.005 eV per formula unit.

abc: 5.5041 5.5041 7.0268
angles: 90.00 90.00 120.00
With the nearest neighbours (Å) after each atom.
Positions (direct):
O 0.6839 0.8419 0.7918  1 As 1.73
O 0.8419 0.6839 0.2082  1 As 1.73
O 0.3333 0.6667 0.4880  1 As 1.70
La 0.0000 0.0000 0.5000  6 O 2.54
O 0.3161 0.1581 0.2082  1 As 1.73
O 0.8419 0.1581 0.2082  1 As 1.73
O 0.1581 0.8419 0.7918  1 As 1.73
As 0.3333 0.6667 0.7299  4 O 1.70-1.73
As 0.6667 0.3333 0.2701  4 O 1.70-1.73
O 0.1581 0.3161 0.7918  1 As 1.73
Pd 0.0000 0.0000 0.0000  6 O 2.10
O 0.6667 0.3333 0.5120  1 As 1.70

Record 9
# KPuPbO6

KPuPbO6 after structural relaxation (GGA-PBE, Alexandria via LeMat-Bulk).

Calculated values
Its magnetization is 1.00 μB/f.u. The calculation puts the total energy at -7.07 eV/atom. The formation energy from raw total energies comes out at -14.726 eV per formula unit.

abc: 5.6278 5.6278 12.0619
angles: 90.00 90.00 120.00
With the nearest neighbours (Å) after each atom.
Positions (direct):
O 0.6441 0.6181 0.1537  1 Pu 2.03, 1 Pb 2.23
O 0.6441 0.0260 0.3463  1 Pu 2.03, 1 Pb 2.23
Pb 0.6667 0.3333 0.7500  6 O 2.23
Pu 0.3333 0.6667 0.7500  6 O 2.03
Pu 0.6667 0.3333 0.2500  6 O 2.03
O 0.0260 0.3819 0.6537  1 Pu 2.03, 1 Pb 2.23
O 0.0260 0.6441 0.8463  1 Pu 2.03, 1 Pb 2.23
O 0.3819 0.3559 0.3463  1 Pu 2.03, 1 Pb 2.23
K 0.0000 0.0000 0.0000  6 O 2.79
O 0.3819 0.0260 0.1537  1 Pu 2.03, 1 Pb 2.23
K 0.0000 0.0000 0.5000  6 O 2.79
O 0.6181 0.6441 0.6537  1 Pu 2.03, 1 Pb 2.23
O 0.9740 0.3559 0.1537  1 Pu 2.03, 1 Pb 2.23
Pb 0.3333 0.6667 0.2500  6 O 2.23
O 0.6181 0.9740 0.8463  1 Pu 2.03, 1 Pb 2.23
O 0.9740 0.6181 0.3463  1 Pu 2.03, 1 Pb 2.23
O 0.3559 0.9740 0.6537  1 Pu 2.03, 1 Pb 2.23
O 0.3559 0.3819 0.8463  1 Pu 2.03, 1 Pb 2.23

Record 10
# SbAsW3

SbAsW3 after structural relaxation (GGA-PBE, Alexandria via LeMat-Bulk).

Calculated values
Its magnetization is 0.00 μB/f.u. The calculation puts the total energy at -6.86 eV/atom. The formation energy from raw total energies comes out at 13.341 eV per formula unit.

abc: 4.9139 4.9139 4.9139
angles: 90.00 90.00 90.00
With the nearest neighbours (Å) after each atom.
Positions (direct):
W 0.5000 0.0000 0.0000  2 Sb 2.46
Sb 0.0000 0.0000 0.0000  6 W 2.46
W 0.0000 0.0000 0.5000  2 Sb 2.46
As 0.5000 0.5000 0.5000  12 W 3.47
W 0.0000 0.5000 0.0000  2 Sb 2.46

Record 11
# NdEr9Sc2

NdEr9Sc2 after structural relaxation (GGA-PBE, Alexandria via LeMat-Bulk).

Calculated values
The energy of formation from the pure elements comes out at 40 meV per atom. Its magnetization is 0.00 μB/f.u. The calculation puts the total energy at -4.83 eV/atom.

abc: 4.9280 4.9280 14.7648
angles: 90.00 90.00 90.00
With the nearest neighbours (Å) after each atom.
Positions (direct):
Nd 0.0000 0.0000 0.0000  12 Er 3.48-3.55
Er 0.5000 0.0000 0.5000  8 Er 3.44-3.48, 4 Sc 3.46
Er 0.5000 0.0000 0.1729  2 Sc 3.44, 8 Er 3.46-3.55, 2 Nd 3.55
Er 0.0000 0.5000 0.5000  8 Er 3.44-3.48, 4 Sc 3.46
Er 0.0000 0.5000 0.1729  2 Sc 3.44, 8 Er 3.46-3.55, 2 Nd 3.55
Er 0.0000 0.5000 0.8271  2 Sc 3.44, 8 Er 3.46-3.55, 2 Nd 3.55
Er 0.5000 0.5000 0.3375  8 Er 3.44-3.46, 4 Sc 3.48
Er 0.5000 0.5000 0.0000  4 Nd 3.48, 8 Er 3.55
Er 0.5000 0.5000 0.6625  8 Er 3.44-3.46, 4 Sc 3.48
Sc 0.0000 0.0000 0.3360  12 Er 3.44-3.48
Sc 0.0000 0.0000 0.6640  12 Er 3.44-3.48
Er 0.5000 0.0000 0.8271  2 Sc 3.44, 8 Er 3.46-3.55, 2 Nd 3.55

Record 12
# TbPm3N4

TbPm3N4 after structural relaxation (GGA-PBE, Alexandria via LeMat-Bulk).

Calculated values
Its magnetization is 0.00 μB/f.u. The calculation puts the total energy at -8.00 eV/atom. The formation energy from raw total energies comes out at -11.839 eV per formula unit.

abc: 5.0730 5.0730 5.0730
angles: 90.00 90.00 90.00
With the nearest neighbours (Å) after each atom.
Positions (direct):
N 0.5000 0.0000 0.0000  4 Pm 2.54, 2 Tb 2.54
N 0.0000 0.0000 0.5000  4 Pm 2.54, 2 Tb 2.54
Pm 0.5000 0.5000 0.0000  6 N 2.54
N 0.5000 0.5000 0.5000  6 Pm 2.54
Tb 0.0000 0.0000 0.0000  6 N 2.54
Pm 0.5000 0.0000 0.5000  6 N 2.54
Pm 0.0000 0.5000 0.5000  6 N 2.54
N 0.0000 0.5000 0.0000  4 Pm 2.54, 2 Tb 2.54

- Which formula does entry 1 have?
  Zn2SbMo

- The lowest total energy belongs to which entry?
  TbPm3N4

Copy entry 3 word for word.
# CaIn2Re

CaIn2Re after structural relaxation (GGA-PBE, Alexandria via LeMat-Bulk).

Calculated values
The energy of formation from the pure elements comes out at 247 meV per atom. Its magnetization is 0.00 μB/f.u. The calculation puts the total energy at -4.73 eV/atom.

abc: 3.2501 3.2501 8.2529
angles: 90.00 90.00 90.00
With the nearest neighbours (Å) after each atom.
Positions (direct):
In 0.0000 0.0000 0.0415  4 Re 2.87
Ca 0.5000 0.5000 0.7500  4 Ca 3.25, 8 In 3.33
Re 0.5000 0.5000 0.2500  8 In 2.87
In 0.0000 0.0000 0.4585  4 Re 2.87

- Which of these has the lowest total energy?
  TbPm3N4